No. 1
Zn3SnF: relaxed, GGA-PBE.

The value obtained for the uncorrected formation energy is -209 meV per atom. The excess energy over the best structure of this formula in the dataset is 0 meV per atom. The calculated total energy comes out at -10.7 eV for the cell shown. Its space group is Pm-3m. The calculation puts the density of states at the Fermi level at 2.49 states/eV per cell.

The structure in extended XYZ format:
```
5
Lattice="4.533 0.000 0.000 0.000 4.533 0.000 0.000 0.000 4.533" Properties=species:S:1:pos:R:3 pbc="T T T"
F 0.000 0.000 0.000
Sn 2.267 2.267 2.267
Zn 0.000 2.267 0.000
Zn 2.267 0.000 0.000
Zn 0.000 0.000 2.267
```

No. 2
BiBPt3: relaxed, GGA-PBE.

The formation energy is -0.190 eV/atom. The excess energy over the best structure of this formula in the dataset is 29 meV per atom. The calculated total energy comes out at -29.6 eV for the cell shown. Its space group is P4mm. The calculation puts the density of states at the Fermi level at 1.21 states/eV per cell.

The structure in extended XYZ format:
```
5
Lattice="-3.653 -0.905 -1.355 1.559 -0.974 -3.553 0.614 -4.893 1.611" Properties=species:S:1:pos:R:3 pbc="T T T"
Pt 0.966 -1.969 -1.288
Pt -1.641 -1.934 -0.190
Pt 0.440 -3.503 1.153
Bi -0.546 -4.931 -1.140
B 0.077 -0.617 0.203
```

No. 3
VFeRh2: relaxed, GGA-PBE.

The formation energy is -0.149 eV/atom. The calculated total energy comes out at -32.9 eV for the cell shown. Its space group is Fm-3m. The calculation puts the density of states at the Fermi level at 7.29 states/eV per cell.

The structure in extended XYZ format:
```
4
Lattice="0.000 3.010 3.010 3.010 0.000 3.010 3.010 3.010 0.000" Properties=species:S:1:pos:R:3 pbc="T T T"
Rh 1.505 1.505 1.505
Rh 4.516 4.516 4.516
V 0.000 0.000 0.000
Fe 3.010 3.010 3.010
```

No. 4
AcLaP2: relaxed, GGA-PBE.

The formation energy is -1.145 eV/atom. The excess energy over the best structure of this formula in the dataset is 369 meV per atom. The calculated total energy comes out at -24.4 eV for the cell shown. Its space group is Fm-3m. The calculation puts the density of states at the Fermi level at 1.66 states/eV per cell.

The structure in extended XYZ format:
```
4
Lattice="5.241 0.000 0.000 2.620 4.539 0.000 2.620 1.513 4.279" Properties=species:S:1:pos:R:3 pbc="T T T"
La 0.000 0.000 0.000
P 2.620 1.513 1.070
P 7.861 4.539 3.209
Ac 5.241 3.026 2.140
```

No. 5
Pr6Te3As2Cl: relaxed, GGA-PBE.

The value obtained for the uncorrected formation energy is -1495 meV per atom. The calculated total energy comes out at -67.2 eV for the cell shown. Its space group is C2/m. The calculation puts the density of states at the Fermi level at 5.49 states/eV per cell.

The structure in extended XYZ format:
```
12
Lattice="4.360 0.000 0.000 0.000 8.889 0.235 -2.180 -2.646 9.277" Properties=species:S:1:pos:R:3 pbc="T T T"
Pr 2.180 0.072 3.116
Pr 2.180 4.117 3.362
Pr 0.000 2.117 0.243
Pr 2.180 4.127 9.269
Pr 0.000 6.171 6.397
Pr 0.000 2.127 6.151
Te 2.180 4.445 0.118
Te 2.180 -0.297 6.277
Te 0.000 6.541 3.235
As 2.180 4.164 6.338
As 0.000 2.080 3.175
Cl 2.180 0.000 0.000
```

No. 6
FeCo6Pt12: relaxed, GGA-PBE.

The formation energy is -0.105 eV/atom. The calculated total energy comes out at -125.6 eV for the cell shown. Its space group is R-3. The calculation puts the density of states at the Fermi level at 20.82 states/eV per cell.

The structure in extended XYZ format:
```
19
Lattice="6.345 0.000 2.034 -3.160 5.931 2.583 0.024 0.000 7.199" Properties=species:S:1:pos:R:3 pbc="T T T"
Co 2.016 3.181 8.227
Co 5.049 1.912 6.111
Co 1.193 2.749 3.589
Co -1.840 4.019 5.704
Co -0.133 4.661 7.656
Co 3.343 1.270 4.159
Pt 4.209 1.589 8.677
Pt -1.000 4.341 3.139
Pt -0.469 2.213 1.568
Pt 2.319 5.620 7.211
Pt 0.890 0.311 4.605
Pt 2.545 0.907 6.630
Pt 2.880 3.407 5.672
Pt 1.680 0.683 2.052
Pt 3.678 3.717 10.248
Pt 0.329 2.524 6.143
Pt 0.664 5.024 5.186
Pt 1.529 5.248 9.764
Fe 0.000 0.000 0.000
```

No. 7
ScReSi2: relaxed, GGA-PBE.

The value obtained for the uncorrected formation energy is -104 meV per atom. The calculated total energy comes out at -30.0 eV for the cell shown. Its space group is R-3m. The calculation puts the density of states at the Fermi level at 3.38 states/eV per cell.

The structure in extended XYZ format:
```
4
Lattice="-2.485 -7.045 3.421 0.500 -7.639 2.984 -0.411 -6.102 5.487" Properties=species:S:1:pos:R:3 pbc="T T T"
Re -0.599 -5.196 2.973
Si -1.221 -10.598 6.064
Si -2.372 -20.581 11.776
Sc -1.797 -15.589 8.920
```

No. 8
CsGa2SeCl: relaxed, GGA-PBE.

The value obtained for the uncorrected formation energy is -456 meV per atom. The calculated total energy comes out at -14.5 eV for the cell shown. Its space group is P4/mmm. The calculation puts the density of states at the Fermi level at 1.64 states/eV per cell.

The structure in extended XYZ format:
```
5
Lattice="5.235 0.000 0.000 0.000 10.220 0.000 0.000 0.000 5.235" Properties=species:S:1:pos:R:3 pbc="T T T"
Ga 0.000 0.000 2.617
Ga 2.617 0.000 0.000
Se 0.000 0.000 0.000
Cl 0.000 5.110 0.000
Cs 2.617 5.110 2.617
```